Entry from the Alexandria database: crystalline Nd8In2Pt at its relaxed geometry (PBE).

## Properties
energy of formation from the pure elements	-0.369	eV per atom
spin magnetization	0.00	μB per formula unit
density of states at the Fermi level	11.66	states/eV per cell
space-group type	No. 12

POSCAR file:
```
Nd8In2Pt
1.0
9.795 -2.608 0.000
9.795 2.608 0.000
-1.766 0.000 6.732
Nd In Pt
8 2 1
Direct
0.017 0.017 0.280
0.212 0.212 0.809
0.351 0.351 0.517
0.409 0.409 0.043
0.591 0.591 0.957
0.649 0.649 0.483
0.788 0.788 0.191
0.983 0.983 0.720
0.183 0.183 0.248
0.817 0.817 0.752
0.500 0.500 0.500
```


Entry from the Alexandria database: crystalline TlTeAsI2 at its relaxed geometry (PBE).

## Properties
raw formation energy	642	meV/atom
spin magnetization	1.44	μB per formula unit
density of states at the Fermi level	3.67	states/eV per cell
space-group type	No. 123

POSCAR file:
```
TlTeAsI2
1.0
6.008 0.000 0.000
0.000 6.008 0.000
0.000 0.000 6.045
Tl Te As I
1 1 1 2
Direct
0.000 0.000 0.000
0.000 0.000 0.500
0.500 0.500 0.500
0.000 0.500 0.000
0.500 0.000 0.000
```


Entry from the Alexandria database: crystalline MgCoIrRu at its relaxed geometry (PBE).

## Properties
energy of formation from the pure elements	0.130	eV per atom
spin magnetization	3.62	μB per formula unit
density of states at the Fermi level	15.92	states/eV per cell
space-group type	No. 216

POSCAR file:
```
MgCoIrRu
1.0
6.117 0.000 0.000
0.000 6.117 0.000
0.000 0.000 6.117
Mg Co Ir Ru
4 4 4 4
Direct
0.000 0.000 0.000
0.000 0.500 0.500
0.500 0.000 0.500
0.500 0.500 0.000
0.250 0.250 0.750
0.250 0.750 0.250
0.750 0.250 0.250
0.750 0.750 0.750
0.250 0.250 0.250
0.250 0.750 0.750
0.750 0.250 0.750
0.750 0.750 0.250
0.000 0.000 0.500
0.000 0.500 0.000
0.500 0.000 0.000
0.500 0.500 0.500
```


Entry from the Alexandria database: crystalline BaMg2Ag2Au at its relaxed geometry (PBE).

## Properties
energy of formation from the pure elements	-0.248	eV per atom
spin magnetization	0.00	μB per formula unit
density of states at the Fermi level	2.79	states/eV per cell
space-group type	No. 123

POSCAR file:
```
BaMg2Ag2Au
1.0
5.131 0.000 0.000
0.000 5.131 0.000
0.000 0.000 6.274
Ba Mg Ag Au
1 2 2 1
Direct
0.000 0.000 0.000
0.000 0.500 0.500
0.500 0.000 0.500
0.500 0.500 0.233
0.500 0.500 0.767
0.000 0.000 0.500
```


Entry from the Alexandria database: crystalline BeCr2Os at its relaxed geometry (PBE).

## Properties
energy of formation from the pure elements	0.125	eV per atom
spin magnetization	0.00	μB per formula unit
density of states at the Fermi level	4.58	states/eV per cell
space-group type	No. 123

POSCAR file:
```
BeCr2Os
1.0
2.646 0.000 0.000
0.000 2.646 0.000
0.000 0.000 6.669
Be Cr Os
1 2 1
Direct
0.000 0.000 0.000
0.500 0.500 0.228
0.500 0.500 0.772
0.000 0.000 0.500
```


Entry from the Alexandria database: crystalline Sr3MgBi3 at its relaxed geometry (PBE).

## Properties
energy of formation from the pure elements	-0.628	eV per atom
spin magnetization	0.00	μB per formula unit
density of states at the Fermi level	12.82	states/eV per cell
space-group type	No. 12

POSCAR file:
```
Sr3MgBi3
1.0
4.711 -7.044 0.000
4.711 7.044 0.000
-0.718 0.000 8.284
Sr Mg Bi
6 2 6
Direct
0.167 0.833 0.000
0.212 0.788 0.500
0.405 0.405 0.176
0.595 0.595 0.824
0.788 0.212 0.500
0.833 0.167 0.000
0.212 0.212 0.626
0.788 0.788 0.374
0.088 0.088 0.290
0.152 0.487 0.786
0.487 0.152 0.786
0.513 0.848 0.214
0.848 0.513 0.214
0.912 0.912 0.710
```